# PBE CaAcInAu, optimized geometry
# Energy above the lowest structure with this stoichiometry, meV/atom: 20
# Calculated total energy, eV/atom: -3.6188
# E_form, eV/atom: -0.59
data_CaAcInAu
_symmetry_space_group_name_H-M 'F -4 3 m'
_symmetry_Int_Tables_number 216
_symmetry_space_group_name_Hall 'F -4 2 3'
_cell_length_a 7.803
_cell_length_b 7.803
_cell_length_c 7.803
_cell_angle_alpha 90.00
_cell_angle_beta 90.00
_cell_angle_gamma 90.00
loop_
_atom_site_label
_atom_site_type_symbol
_atom_site_fract_x
_atom_site_fract_y
_atom_site_fract_z
Ca1 Ca 0.000 0.000 0.000
Ac1 Ac 0.000 0.000 0.500
In1 In 0.250 0.250 0.750
Au1 Au 0.250 0.250 0.250